Below is crystalline NaCoSO at its relaxed geometry, with properties calculated at the PBE+U level.

- total moment (Bohr magnetons per cell) = 7.35
- E above lowest polymorph (eV/atom) = 0.000
- uncorrected energy (eV for the cell shown) = -37.6

Lattice parameters (Å, degrees): 3.5253 7.0176 5.7339 90.00 90.00 90.00
Last column: nearest neighbours and their distance in Å.
Atoms (fractional coordinates):
Co1 0.5000 0.8899 0.0307  2 O 1.84-1.85
Co2 0.5000 0.1101 0.5307  2 O 1.84-1.85
Na1 0.0000 0.3072 0.1188  2 O 2.31
Na2 0.0000 0.6928 0.6188  2 O 2.31
O1 0.5000 0.1085 0.2080  2 Co 1.84-1.85
O2 0.5000 0.8915 0.7080  2 Co 1.84-1.85
S1 0.0000 0.7037 0.1336  2 Co 2.27
S2 0.0000 0.2963 0.6336  2 Co 2.27